[1]
## CaCuSb2Te (PBE)

Data for a relaxed structure of CaCuSb2Te.

a = 5.9492 Å, b = 4.6971 Å, c = 5.9492 Å
α = 90.00°, β = 90.00°, γ = 90.00°
With the nearest neighbours (Å) after each atom.
Atoms (fractional coordinates):
Sb (0.0000, 0.0000, 0.5000)  2 Te 2.97
Sb (0.5000, 0.0000, 0.0000)  2 Te 2.97
Ca (0.5000, 0.5000, 0.5000)  8 Sb 3.79, 4 Cu 4.21
Te (0.0000, 0.0000, 0.0000)  2 Cu 2.35
Cu (0.0000, 0.5000, 0.0000)  2 Te 2.35

Calculated values
**Energy above the most stable polymorph in this dataset**: 0.3111 eV/atom
**Uncorrected energy**: -3.285 eV/atom
**Uncorrected formation energy**: 1.1 eV/f.u.



[2]
## CaCuSb2Te (PBE)

Data for a relaxed structure of CaCuSb2Te.

a = 5.0746 Å, b = 5.0746 Å, c = 5.5314 Å
α = 90.00°, β = 90.00°, γ = 90.00°
With the nearest neighbours (Å) after each atom.
Atoms (fractional coordinates):
Sb (0.0000, 0.5000, 0.0000)  2 Cu 2.54
Sb (0.5000, 0.0000, 0.0000)  2 Cu 2.54
Ca (0.5000, 0.5000, 0.5000)  4 Te 3.59, 8 Sb 3.75
Te (0.0000, 0.0000, 0.5000)  2 Cu 2.77
Cu (0.0000, 0.0000, 0.0000)  4 Sb 2.54, 2 Te 2.77

Calculated values
**Energy above the most stable polymorph in this dataset**: 0.0000 eV/atom
**Uncorrected energy**: -3.596 eV/atom
**Uncorrected formation energy**: -0.5 eV/f.u.



[3]
## Ca2TiCuSb (PBE)

Data for a relaxed structure of Ca2TiCuSb.

a = 5.3208 Å, b = 4.7610 Å, c = 5.3208 Å
α = 90.00°, β = 90.00°, γ = 90.00°
With the nearest neighbours (Å) after each atom.
Atoms (fractional coordinates):
Sb (0.5000, 0.5000, 0.5000)  8 Ca 3.57, 4 Ti 3.76
Ca (0.0000, 0.0000, 0.5000)  2 Cu 2.66
Ca (0.5000, 0.0000, 0.0000)  2 Cu 2.66
Cu (0.0000, 0.0000, 0.0000)  2 Ti 2.38, 4 Ca 2.66
Ti (0.0000, 0.5000, 0.0000)  2 Cu 2.38

Calculated values
**Uncorrected energy**: -3.962 eV/atom
**Uncorrected formation energy**: 0.3 eV/f.u.



[4]
## Ca2TlCuSb (PBE)

Data for a relaxed structure of Ca2TlCuSb.

a = 5.5042 Å, b = 4.8890 Å, c = 5.5042 Å
α = 90.00°, β = 90.00°, γ = 90.00°
With the nearest neighbours (Å) after each atom.
Atoms (fractional coordinates):
Sb (0.5000, 0.5000, 0.5000)  8 Ca 3.68, 4 Tl 3.89
Tl (0.0000, 0.5000, 0.0000)  2 Cu 2.44
Ca (0.0000, 0.0000, 0.5000)  2 Cu 2.75
Ca (0.5000, 0.0000, 0.0000)  2 Cu 2.75
Cu (0.0000, 0.0000, 0.0000)  2 Tl 2.44

Calculated values
**Uncorrected energy**: -3.152 eV/atom
**Uncorrected formation energy**: -1.2 eV/f.u.



[5]
## CaVCu2Sb (PBE)

Data for a relaxed structure of CaVCu2Sb.

a = 4.6965 Å, b = 5.4046 Å, c = 4.6965 Å
α = 90.00°, β = 90.00°, γ = 90.00°
With the nearest neighbours (Å) after each atom.
Atoms (fractional coordinates):
Sb (0.5000, 0.5000, 0.5000)  4 Ca 3.32, 8 Cu 3.58
Ca (0.0000, 0.5000, 0.0000)  2 V 2.70
Cu (0.0000, 0.0000, 0.5000)  2 V 2.35
Cu (0.5000, 0.0000, 0.0000)  2 V 2.35
V (0.0000, 0.0000, 0.0000)  4 Cu 2.35

Calculated values
**Uncorrected energy**: -3.830 eV/atom
**Uncorrected formation energy**: 4.3 eV/f.u.



[6]
## CaScCu (PBE)

Data for a relaxed structure of CaScCu.

a = 4.7698 Å, b = 4.7698 Å, c = 4.7698 Å
α = 60.00°, β = 60.00°, γ = 60.00°
With the nearest neighbours (Å) after each atom.
Atoms (fractional coordinates):
Sc (0.0000, 0.0000, 0.0000)  4 Cu 2.92
Ca (0.5000, 0.5000, 0.5000)  4 Cu 2.92
Cu (0.7500, 0.7500, 0.7500)  4 Ca 2.92, 4 Sc 2.92

Calculated values
**Energy above the most stable polymorph in this dataset**: 0.2399 eV/atom
**Uncorrected energy**: -3.956 eV/atom
**Formation energy from the elements**: 0.1873 eV per atom



[7]
## Ca2ScCu (PBE)

Data for a relaxed structure of Ca2ScCu.

a = 10.1516 Å, b = 10.1516 Å, c = 10.1516 Å
α = 20.85°, β = 20.85°, γ = 20.85°
With the nearest neighbours (Å) after each atom.
Atoms (fractional coordinates):
Sc (0.7500, 0.7500, 0.7500)  6 Ca 3.61, 6 Sc 3.67
Ca (0.9853, 0.9853, 0.9853)  3 Cu 2.94
Ca (0.5147, 0.5147, 0.5147)  3 Cu 2.94
Cu (0.2500, 0.2500, 0.2500)  6 Ca 2.94

Calculated values
**Energy above the most stable polymorph in this dataset**: 0.2420 eV/atom
**Uncorrected energy**: -3.387 eV/atom
**Formation energy from the elements**: 0.2211 eV per atom



[8]
## Ca2ScCu (PBE)

Data for a relaxed structure of Ca2ScCu.

a = 5.1668 Å, b = 5.1689 Å, c = 4.0216 Å
α = 90.00°, β = 90.00°, γ = 90.00°
With the nearest neighbours (Å) after each atom.
Atoms (fractional coordinates):
Sc (0.0000, 0.5000, 0.5000)  8 Ca 3.27, 4 Cu 3.65
Ca (0.0000, 0.0000, 0.0000)  4 Cu 3.27, 4 Sc 3.27, 4 Ca 3.65
Ca (0.5000, 0.5000, 0.0000)  4 Sc 3.27, 4 Cu 3.27, 4 Ca 3.65
Cu (0.5000, 0.0000, 0.5000)  8 Ca 3.27, 4 Sc 3.65

Calculated values
**Energy above the most stable polymorph in this dataset**: 0.2542 eV/atom
**Uncorrected energy**: -3.374 eV/atom
**Formation energy from the elements**: 0.2333 eV per atom